[1]
# SrPmInGe | Alexandria via LeMat-Bulk | PBE | optimized geometry
# Size of the total moment in μB per cell: 0.00
# Calculated volume in Å³ per atom: 28.7
# Total DFT energy (no corrections) in eV per atom: -3.85
data_SrPmInGe
_chemical_formula_sum 'Sr1 Pm1 In1 Ge1'
_cell_length_a 5.4536
_cell_length_b 5.4536
_cell_length_c 5.4536
_cell_angle_alpha 60.00
_cell_angle_beta 60.00
_cell_angle_gamma 60.00
_space_group_name_H-M_alt 'P 1'
_space_group_IT_number 1
loop_
_space_group_symop_operation_xyz
'x,y,z'
loop_
_atom_site_label
_atom_site_type_symbol
_atom_site_fract_x
_atom_site_fract_y
_atom_site_fract_z
Sr1 Sr 0.0000 0.0000 0.0000
Pm1 Pm 0.5000 0.5000 0.5000
In1 In 0.7500 0.7500 0.7500
Ge1 Ge 0.2500 0.2500 0.2500


[2]
# ZrAl4Sb | Alexandria via LeMat-Bulk | PBE | optimized geometry
# Size of the total moment in μB per cell: 0.00
# Calculated volume in Å³ per atom: 18.5
# Total DFT energy (no corrections) in eV per atom: -4.82
data_ZrAl4Sb
_chemical_formula_sum 'Zr1 Al4 Sb1'
_cell_length_a 5.3939
_cell_length_b 5.3939
_cell_length_c 5.3939
_cell_angle_alpha 60.00
_cell_angle_beta 60.00
_cell_angle_gamma 60.00
_space_group_name_H-M_alt 'P 1'
_space_group_IT_number 1
loop_
_space_group_symop_operation_xyz
'x,y,z'
loop_
_atom_site_label
_atom_site_type_symbol
_atom_site_fract_x
_atom_site_fract_y
_atom_site_fract_z
Zr1 Zr 0.0000 0.0000 0.0000
Al1 Al 0.1203 0.6266 0.6266
Al2 Al 0.6266 0.1203 0.6266
Al3 Al 0.6266 0.6266 0.1203
Al4 Al 0.6266 0.6266 0.6266
Sb1 Sb 0.2500 0.2500 0.2500


[3]
# Hf3Sn2Pd | Alexandria via LeMat-Bulk | PBE | optimized geometry
# Size of the total moment in μB per cell: 0.00
# Calculated volume in Å³ per atom: 21.1
# Total DFT energy (no corrections) in eV per atom: -7.60
data_Hf3Sn2Pd
_chemical_formula_sum 'Hf12 Sn8 Pd4'
_cell_length_a 11.6512
_cell_length_b 4.2843
_cell_length_c 10.1571
_cell_angle_alpha 90.00
_cell_angle_beta 90.00
_cell_angle_gamma 90.00
_space_group_name_H-M_alt 'P 1'
_space_group_IT_number 1
loop_
_space_group_symop_operation_xyz
'x,y,z'
loop_
_atom_site_label
_atom_site_type_symbol
_atom_site_fract_x
_atom_site_fract_y
_atom_site_fract_z
Hf1 Hf 0.0203 0.2500 0.1126
Hf2 Hf 0.1327 0.7500 0.5948
Hf3 Hf 0.1875 0.2500 0.8375
Hf4 Hf 0.3125 0.7500 0.3375
Hf5 Hf 0.3673 0.2500 0.0948
Hf6 Hf 0.4797 0.7500 0.6126
Hf7 Hf 0.5203 0.2500 0.3874
Hf8 Hf 0.6327 0.7500 0.9052
Hf9 Hf 0.6875 0.2500 0.6625
Hf10 Hf 0.8125 0.7500 0.1625
Hf11 Hf 0.8673 0.2500 0.4052
Hf12 Hf 0.9797 0.7500 0.8874
Sn1 Sn 0.0243 0.7500 0.3272
Sn2 Sn 0.1938 0.7500 0.0554
Sn3 Sn 0.3062 0.2500 0.5554
Sn4 Sn 0.4757 0.2500 0.8272
Sn5 Sn 0.5243 0.7500 0.1728
Sn6 Sn 0.6938 0.7500 0.4446
Sn7 Sn 0.8062 0.2500 0.9446
Sn8 Sn 0.9757 0.2500 0.6728
Pd1 Pd 0.1650 0.2500 0.3396
Pd2 Pd 0.3350 0.7500 0.8396
Pd3 Pd 0.6650 0.2500 0.1604
Pd4 Pd 0.8350 0.7500 0.6604